Compound: NaMn2ZnC
Source: Alexandria
Functional: PBE-GGA
Structure: relaxed

Cell: 3.866 3.866 4.587 Å, 90.00 90.00 90.00°
Element x y z (fractional)
Na 0.000 0.000 0.000
Mn 0.000 0.500 0.500
Mn 0.500 0.000 0.500
Zn 0.500 0.500 0.000
C 0.000 0.000 0.500

Compound: Na2ZrMnC
Source: Alexandria
Functional: PBE-GGA
Structure: relaxed

Cell: 6.165 6.165 4.034 Å, 90.00 90.00 90.00°
Element x y z (fractional)
Na 0.000 0.500 0.000
Na 0.500 0.000 0.000
Zr 0.000 0.000 0.000
Mn 0.500 0.500 0.500
C 0.000 0.000 0.500

Compound: Mn2NbC
Source: Alexandria
Functional: PBE-GGA
Structure: relaxed

Cell: 3.983 3.983 3.983 Å, 60.00 60.00 60.00°
Element x y z (fractional)
Mn 0.250 0.250 0.250
Mn 0.750 0.750 0.750
Nb 0.000 0.000 0.000
C 0.500 0.500 0.500

Compound: Mn2NbC
Source: Alexandria
Functional: PBE-GGA
Structure: relaxed

Cell: 5.137 5.137 5.137 Å, 101.26 101.26 127.56°
Element x y z (fractional)
Mn 0.008 0.625 0.883
Mn 0.375 0.258 0.383
Mn 0.742 0.125 0.117
Mn 0.875 0.992 0.617
Nb 0.250 0.750 0.500
Nb 0.500 0.500 0.000
C 0.000 0.000 0.000
C 0.750 0.250 0.500

Compound: Mn4NbC
Source: Alexandria
Functional: PBE-GGA
Structure: relaxed

Cell: 7.236 2.918 6.265 Å, 90.00 90.00 90.00°
Element x y z (fractional)
Mn 0.000 0.000 0.000
Mn 0.068 0.500 0.301
Mn 0.250 0.500 0.949
Mn 0.432 0.500 0.301
Mn 0.500 0.000 0.000
Mn 0.568 0.500 0.699
Mn 0.750 0.500 0.051
Mn 0.932 0.500 0.699
Nb 0.250 0.000 0.598
Nb 0.750 0.000 0.402
C 0.250 0.000 0.202
C 0.750 0.000 0.798

Compound: MnNb2C
Source: Alexandria
Functional: PBE-GGA
Structure: relaxed

Cell: 7.119 7.119 7.119 Å, 25.04 25.04 25.04°
Element x y z (fractional)
Mn 0.000 0.000 0.000
Nb 0.228 0.228 0.228
Nb 0.772 0.772 0.772
C 0.500 0.500 0.500

no.,energy of formation (eV/atom)
1,0.3770
2,1.4792
3,0.9075
4,0.1090
5,-0.0201
6,-0.1366